CaLa2P | PBE | relaxed

a = 3.6852 Å, b = 3.6852 Å, c = 9.8019 Å
α = 90.00°, β = 90.00°, γ = 90.00°
Atoms (fractional coordinates):
La  0.0000  0.0000  0.0847
La  0.0000  0.0000  0.4153
Ca  0.5000  0.5000  0.7500
P  0.5000  0.5000  0.2500

Output
Magnetization = 0.0 Bohr magnetons per cell
Energy = -19.617 eV per cell
Space group = P4/mmm, No. 123
ΔE_f = -0.588 eV/atom
Fermi-level density of states = 1.35 states/eV/atom